Model w:
The following is a DFT calculation (PBE-GGA) of RbLi3Si after structural relaxation.

- Symmetry: Pm-3m

a b c (Å): 4.950 4.950 4.950
angles (deg): 90.00 90.00 90.00
Element x y z (fractional)
1 Rb 0.000 0.000 0.000
2 Li 0.000 0.000 0.500
3 Li 0.000 0.500 0.000
4 Li 0.500 0.000 0.000
5 Si 0.500 0.500 0.500



Model x:
The following is a DFT calculation (PBE-GGA) of RbLi3Si after structural relaxation.

- Symmetry: Pm-3m

a b c (Å): 5.078 5.078 5.078
angles (deg): 90.00 90.00 90.00
Element x y z (fractional)
1 Rb 0.000 0.000 0.000
2 Li 0.000 0.500 0.500
3 Li 0.500 0.000 0.500
4 Li 0.500 0.500 0.000
5 Si 0.500 0.500 0.500



Stability, lowest: model w